First-principles (PBE) data for an optimized crystal structure of NaSmI, as listed in the Alexandria database. Values from VASP.

Geometry as Quantum ESPRESSO input:
```
&SYSTEM
  ibrav = 0, nat = 6, ntyp = 3
/
ATOMIC_SPECIES
Sm 150.36 Sm.upf
I 126.90 I.upf
Na 22.99 Na.upf
ATOMIC_POSITIONS crystal
Sm 0.271 0.271 0.561
Sm 0.482 0.482 0.746
I 0.046 0.046 0.899
I 0.707 0.707 0.408
Na 0.273 0.273 0.059
Na 0.480 0.480 0.248
CELL_PARAMETERS angstrom
0.281 2.368 3.176
2.178 -1.120 3.126
13.939 7.609 -1.951
```

---

First-principles (PBE) data for an optimized crystal structure of U6S12Br, as listed in the Alexandria database. Values from VASP.

Geometry as Quantum ESPRESSO input:
```
&SYSTEM
  ibrav = 0, nat = 19, ntyp = 3
/
ATOMIC_SPECIES
S 32.06 S.upf
U 238.03 U.upf
Br 79.90 Br.upf
ATOMIC_POSITIONS crystal
S 0.452 0.189 0.452
S 0.871 0.129 0.500
S 0.548 0.548 0.811
S 0.811 0.548 0.548
S 0.500 0.129 0.871
S 0.189 0.452 0.452
S 0.129 0.871 0.500
S 0.452 0.452 0.189
S 0.871 0.500 0.129
S 0.500 0.871 0.129
S 0.548 0.811 0.548
S 0.129 0.500 0.871
U 0.248 0.248 0.663
U 0.248 0.663 0.248
U 0.663 0.248 0.248
U 0.337 0.752 0.752
U 0.752 0.752 0.337
U 0.752 0.337 0.752
Br 0.000 0.000 0.000
CELL_PARAMETERS angstrom
-3.518 5.402 4.685
-4.189 0.320 -6.772
-2.096 -6.982 3.220
```

---

First-principles (PBE) data for an optimized crystal structure of MgZrSe, as listed in the Alexandria database. Values from VASP.

Geometry as Quantum ESPRESSO input:
```
&SYSTEM
  ibrav = 0, nat = 3, ntyp = 3
/
ATOMIC_SPECIES
Mg 24.30 Mg.upf
Se 78.96 Se.upf
Zr 91.22 Zr.upf
ATOMIC_POSITIONS crystal
Mg 0.500 0.500 0.500
Se 0.250 0.250 0.250
Zr 0.000 0.000 0.000
CELL_PARAMETERS angstrom
-4.025 0.325 2.187
-0.540 -1.959 4.119
-0.367 2.616 3.757
```

---

These records have volume values of 104.7 452.4 68.5 Å³/f.u., in the order they appear.
These records have energy relative to the elements, uncorrected values of -0.620 -1.260 -0.154 eV/atom, in the order they appear.